## 1
Density functional theory data (meta-GGA SCAN) for CaIn5 at its PBEsol-relaxed geometry.

a = 4.855 Å, b = 13.619 Å, c = 4.542 Å
α = 90.00°, β = 90.00°, γ = 90.00°
Space group Cmmm (No. 65)
Unique sites:
Ca  0.000  0.000  0.000 (multiplicity 2)
In  0.000  0.171  0.500 (multiplicity 4)
In  0.000  0.329  0.000 (multiplicity 4)
In  0.000  0.500  0.500 (multiplicity 2)


## 2
Density functional theory data (meta-GGA SCAN) for CaIn5 at its PBEsol-relaxed geometry.

a = 11.219 Å, b = 5.088 Å, c = 6.477 Å
α = 90.00°, β = 125.26°, γ = 90.00°
Space group Cm (No. 8)
Unique sites:
Ca  0.000  0.000  0.000 (multiplicity 2)
In  0.002  0.000  0.502 (multiplicity 2)
In  0.166  0.500  0.421 (multiplicity 2)
In  0.167  0.500  0.917 (multiplicity 2)
In  0.334  0.000  0.085 (multiplicity 2)
In  0.335  0.000  0.579 (multiplicity 2)


What should be chosen as the most stable of them? Choose 2.


## 1
Density functional theory data (meta-GGA SCAN) for Ca2MgIn at its PBEsol-relaxed geometry.

a = 12.693 Å, b = 3.679 Å, c = 5.531 Å
α = 90.00°, β = 115.69°, γ = 90.00°
Space group Cm (No. 8)
Unique sites:
Ca  0.000  0.000  0.000 (multiplicity 2)
Ca  0.208  0.000  0.707 (multiplicity 2)
Mg  0.265  0.500  0.263 (multiplicity 2)
In  0.468  0.000  0.469 (multiplicity 2)


## 2
Density functional theory data (meta-GGA SCAN) for Ca2MgIn at its PBEsol-relaxed geometry.

a = 3.6730 Å, b = 3.6730 Å, c = 31.6618 Å
α = 90.00°, β = 90.00°, γ = 120.00°
Space group R-3m (No. 166, hexagonal axes)
Unique sites:
Ca  0.0000  0.0000  0.2450 (multiplicity 6)
Mg  0.0000  0.0000  0.0000 (multiplicity 3)
In  0.0000  0.0000  0.5000 (multiplicity 3)


What should be chosen as the most stable of them? Choose 1.


## 1
Density functional theory data (meta-GGA SCAN) for Ca2MgIn at its PBEsol-relaxed geometry.

a = 3.798 Å, b = 5.446 Å, c = 5.446 Å
α = 90.00°, β = 90.00°, γ = 90.00°
Space group Pmm2 (No. 25)
Unique sites:
Ca  0.000  0.000  0.000 (multiplicity 1)
Ca  0.000  0.500  0.499 (multiplicity 1)
Mg  0.500  0.000  0.500 (multiplicity 1)
In  0.500  0.500  0.999 (multiplicity 1)


## 2
Density functional theory data (meta-GGA SCAN) for Ca2MgIn at its PBEsol-relaxed geometry.

a = 7.657 Å, b = 7.657 Å, c = 7.657 Å
α = 90.00°, β = 90.00°, γ = 90.00°
Space group Fm-3m (No. 225)
Unique sites:
Ca  0.250  0.250  0.250 (multiplicity 8)
Mg  0.000  0.000  0.000 (multiplicity 4)
In  0.000  0.000  0.500 (multiplicity 4)


What should be chosen as the most stable of them? Choose 2.